Entry from Alexandria via LeMat-Bulk: a relaxed AcW2N5 crystal (GGA-PBE).

Values from the calculation:
VASP energy	-9.321	eV/atom
density	11.32	Mg/m³
M_tot	0.29	μB/f.u.
space group	I4/mcm (140)

a b c (Å): 7.0778 7.0778 7.0778
angles (deg): 131.45 131.45 71.10
Fractional coordinates of all 16 atoms:
Ac 0.2500 0.2500 0.0000
Ac 0.7500 0.7500 0.0000
W 0.1625 0.6625 0.8249
W 0.3375 0.1625 0.5000
W 0.6625 0.8375 0.5000
W 0.8375 0.3375 0.1751
N 0.0000 0.0000 0.0000
N 0.0315 0.2427 0.5000
N 0.2427 0.7427 0.2112
N 0.2573 0.4685 0.5000
N 0.4685 0.9685 0.2112
N 0.5000 0.5000 0.0000
N 0.5315 0.0315 0.7888
N 0.7427 0.5315 0.5000
N 0.7573 0.2573 0.7888
N 0.9685 0.7573 0.5000